A geometry-optimized HoEr3S4 structure, computed with GGA-PBE.

The structure in CIF format:
```
data_HoEr3S4
_chemical_formula_sum 'Ho1 Er3 S4'
_symmetry_space_group_name_H-M 'P m -3 m'
_symmetry_Int_Tables_number 221
_symmetry_space_group_name_Hall '-P 4 2 3'
_cell_length_a 5.472
_cell_length_b 5.472
_cell_length_c 5.472
_cell_angle_alpha 90.00
_cell_angle_beta 90.00
_cell_angle_gamma 90.00
loop_
_atom_site_label
_atom_site_type_symbol
_atom_site_fract_x
_atom_site_fract_y
_atom_site_fract_z
_atom_site_occupancy
Ho1 Ho 0.000 0.000 0.000 1
Er1 Er 0.000 0.500 0.500 1
S1 S 0.000 0.000 0.500 1
S2 S 0.500 0.500 0.500 1
```

Properties
The value obtained for the density is 8.1 Mg/m³. As for the total magnetic moment: 0.0 μB/f.u. For the raw total energy, the calculation gives -6.2943 eV/atom. The calculated volume comes out at 163.8 Å³/cell.


A geometry-optimized YHfNbB2 structure, computed with GGA-PBE.

The structure in CIF format:
```
data_YHfNbB2
_chemical_formula_sum 'Y1 Hf1 Nb1 B2'
_symmetry_space_group_name_H-M 'P 4/m m m'
_symmetry_Int_Tables_number 123
_symmetry_space_group_name_Hall '-P 4 2'
_cell_length_a 4.473
_cell_length_b 4.473
_cell_length_c 4.890
_cell_angle_alpha 90.00
_cell_angle_beta 90.00
_cell_angle_gamma 90.00
loop_
_atom_site_label
_atom_site_type_symbol
_atom_site_fract_x
_atom_site_fract_y
_atom_site_fract_z
_atom_site_occupancy
Y1 Y 0.000 0.000 0.000 1
Hf1 Hf 0.500 0.500 0.000 1
Nb1 Nb 0.500 0.500 0.500 1
B1 B 0.000 0.500 0.500 1
```

Properties
As for the formation enthalpy at 0 K: 0.96 eV per atom. The value obtained for the density is 6.5 Mg/m³. As for the total magnetic moment: 0.0 μB/f.u. For the raw total energy, the calculation gives -7.0112 eV/atom. The calculated volume comes out at 97.8 Å³/cell.


A geometry-optimized ReIrSeN2 structure, computed with GGA-PBE.

The structure in CIF format:
```
data_ReIrSeN2
_chemical_formula_sum 'Re1 Ir1 Se1 N2'
_symmetry_space_group_name_H-M 'P 4/m m m'
_symmetry_Int_Tables_number 123
_symmetry_space_group_name_Hall '-P 4 2'
_cell_length_a 3.695
_cell_length_b 3.695
_cell_length_c 7.914
_cell_angle_alpha 90.00
_cell_angle_beta 90.00
_cell_angle_gamma 90.00
loop_
_atom_site_label
_atom_site_type_symbol
_atom_site_fract_x
_atom_site_fract_y
_atom_site_fract_z
_atom_site_occupancy
Re1 Re 0.000 0.000 0.000 1
Ir1 Ir 0.500 0.500 0.500 1
Se1 Se 0.500 0.500 0.000 1
N1 N 0.000 0.500 0.500 1
```

Properties
The value obtained for the density is 7.5 Mg/m³. As for the total magnetic moment: 3.7 μB/f.u. For the raw total energy, the calculation gives -6.8427 eV/atom. The calculated volume comes out at 108.1 Å³/cell.


A geometry-optimized Tl3CdPd structure, computed with GGA-PBE.

The structure in CIF format:
```
data_Tl3CdPd
_chemical_formula_sum 'Tl3 Cd1 Pd1'
_symmetry_space_group_name_H-M 'P m -3 m'
_symmetry_Int_Tables_number 221
_symmetry_space_group_name_Hall '-P 4 2 3'
_cell_length_a 5.364
_cell_length_b 5.364
_cell_length_c 5.364
_cell_angle_alpha 90.00
_cell_angle_beta 90.00
_cell_angle_gamma 90.00
loop_
_atom_site_label
_atom_site_type_symbol
_atom_site_fract_x
_atom_site_fract_y
_atom_site_fract_z
_atom_site_occupancy
Tl1 Tl 0.000 0.000 0.500 1
Cd1 Cd 0.500 0.500 0.500 1
Pd1 Pd 0.000 0.000 0.000 1
```

Properties
As for the formation enthalpy at 0 K: 0.05 eV per atom. The value obtained for the density is 9.0 Mg/m³. As for the total magnetic moment: 0.0 μB/f.u. For the raw total energy, the calculation gives -2.5935 eV/atom. The calculated volume comes out at 154.4 Å³/cell.


A geometry-optimized Pu2CoCu structure, computed with GGA-PBE.

The structure in CIF format:
```
data_Pu2CoCu
_chemical_formula_sum 'Pu2 Co1 Cu1'
_symmetry_space_group_name_H-M 'P 4/m m m'
_symmetry_Int_Tables_number 123
_symmetry_space_group_name_Hall '-P 4 2'
_cell_length_a 3.579
_cell_length_b 3.579
_cell_length_c 4.598
_cell_angle_alpha 90.00
_cell_angle_beta 90.00
_cell_angle_gamma 90.00
loop_
_atom_site_label
_atom_site_type_symbol
_atom_site_fract_x
_atom_site_fract_y
_atom_site_fract_z
_atom_site_occupancy
Pu1 Pu 0.000 0.500 0.000 1
Co1 Co 0.000 0.000 0.500 1
Cu1 Cu 0.500 0.500 0.500 1
```

Properties
As for the formation enthalpy at 0 K: 0.48 eV per atom. The value obtained for the density is 17.2 Mg/m³. As for the total magnetic moment: 2.1 μB/f.u. For the raw total energy, the calculation gives -9.4913 eV/atom. The calculated volume comes out at 58.9 Å³/cell.


A geometry-optimized ScIn2Au structure, computed with GGA-PBE.

The structure in CIF format:
```
data_ScIn2Au
_chemical_formula_sum 'Sc2 In4 Au2'
_symmetry_space_group_name_H-M 'C 1 2 1'
_symmetry_Int_Tables_number 5
_symmetry_space_group_name_Hall 'C 2y'
_cell_length_a 6.235
_cell_length_b 6.205
_cell_length_c 5.399
_cell_angle_alpha 90.00
_cell_angle_beta 124.76
_cell_angle_gamma 90.00
loop_
_atom_site_label
_atom_site_type_symbol
_atom_site_fract_x
_atom_site_fract_y
_atom_site_fract_z
_atom_site_occupancy
Sc1 Sc 0.000 0.000 0.000 1
In1 In 0.000 0.251 0.500 1
In2 In 0.000 0.501 0.000 1
Au1 Au 0.000 0.751 0.500 1
```

Properties
As for the formation enthalpy at 0 K: -0.37 eV per atom. The value obtained for the density is 9.1 Mg/m³. As for the total magnetic moment: 0.0 μB/f.u. For the raw total energy, the calculation gives -4.1382 eV/atom. The calculated volume comes out at 171.6 Å³/cell.


- Which value of raw total energy does entry 6 give?
  -4.1382 eV/atom